1.
Here is Fe2SnCl after structural relaxation from Alexandria via LeMat-Bulk. Energies are from PBE-GGA.

a b c (Å): 6.6417 6.6417 6.7847
angles (deg): 90.00 90.00 90.00
Space group I-42d (No. 122)
Symmetry-distinct sites (fractional):
Fe (0.2030, 0.2500, 0.1250)
Sn (0.0000, 0.0000, 0.5000)
Cl (0.0000, 0.0000, 0.0000)

Output
Total DFT energy (no corrections)   -5.20 eV per atom

---

2.
Here is LiZrTlHg after structural relaxation from Alexandria via LeMat-Bulk. Energies are from PBE-GGA.

a b c (Å): 3.3346 3.3346 7.3732
angles (deg): 90.00 90.00 90.00
Space group P4mm (No. 99)
Symmetry-distinct sites (fractional):
Li (0.0000, 0.0000, 0.0000)
Zr (0.0000, 0.0000, 0.5203)
Tl (0.5000, 0.5000, 0.2343)
Hg (0.5000, 0.5000, 0.7900)

Output
ΔE to the lowest computed polymorph   0.0 meV/atom
Energy of formation from the pure elements   -74 kJ/mol of formula units
Total DFT energy (no corrections)   -3.47 eV per atom

---

3.
Here is BeCdHg2 after structural relaxation from Alexandria via LeMat-Bulk. Energies are from PBE-GGA.

a b c (Å): 3.1083 3.1083 8.0725
angles (deg): 90.00 90.00 90.00
Space group P4/mmm (No. 123)
Symmetry-distinct sites (fractional):
Be (0.0000, 0.0000, 0.0000)
Cd (0.0000, 0.0000, 0.5000)
Hg (0.5000, 0.5000, 0.2004)

Output
ΔE to the lowest computed polymorph   99.9 meV/atom
Energy of formation from the pure elements   127 kJ/mol of formula units
Total DFT energy (no corrections)   -0.98 eV per atom